Record 1
Density functional theory data (GGA-PBE) for CaAl3Ir after structural relaxation.

Values from the calculation:
DFT formation energy ... -478.2 meV per atom
Excess energy over the best structure of this formula in the dataset ... 0.0 meV per atom

a = 7.8091 Å, b = 6.8993 Å, c = 8.6417 Å
α = 90.00°, β = 122.06°, γ = 90.00°
Atoms (fractional coordinates):
1 Ca 0.1228 0.1008 0.2320
2 Ca 0.1228 0.3992 0.7320
3 Ca 0.8772 0.6008 0.2680
4 Ca 0.8772 0.8992 0.7680
5 Al 0.1955 0.6628 0.1547
6 Al 0.1955 0.8372 0.6547
7 Al 0.3177 0.0516 0.9619
8 Al 0.3177 0.4484 0.4619
9 Al 0.4442 0.1248 0.6792
10 Al 0.4442 0.3752 0.1792
11 Al 0.5558 0.6248 0.8208
12 Al 0.5558 0.8752 0.3208
13 Al 0.6823 0.5516 0.5381
14 Al 0.6823 0.9484 0.0381
15 Al 0.8045 0.1628 0.3453
16 Al 0.8045 0.3372 0.8453
17 Ir 0.4158 0.7003 0.0200
18 Ir 0.4158 0.7997 0.5200
19 Ir 0.5842 0.2003 0.4800
20 Ir 0.5842 0.2997 0.9800


Record 2
Density functional theory data (GGA-PBE) for LaErZnFe after structural relaxation.

Values from the calculation:
DFT formation energy ... -24.8 meV per atom

a = 7.1039 Å, b = 7.1039 Å, c = 7.1039 Å
α = 90.00°, β = 90.00°, γ = 90.00°
Atoms (fractional coordinates):
1 La 0.0000 0.0000 0.0000
2 La 0.0000 0.5000 0.5000
3 La 0.5000 0.0000 0.5000
4 La 0.5000 0.5000 0.0000
5 Er 0.0000 0.0000 0.5000
6 Er 0.0000 0.5000 0.0000
7 Er 0.5000 0.0000 0.0000
8 Er 0.5000 0.5000 0.5000
9 Zn 0.2500 0.2500 0.7500
10 Zn 0.2500 0.7500 0.2500
11 Zn 0.7500 0.2500 0.2500
12 Zn 0.7500 0.7500 0.7500
13 Fe 0.2500 0.2500 0.2500
14 Fe 0.2500 0.7500 0.7500
15 Fe 0.7500 0.2500 0.7500
16 Fe 0.7500 0.7500 0.2500


Record 3
Density functional theory data (GGA-PBE) for Sc5CoRh4 after structural relaxation.

Values from the calculation:
DFT formation energy ... -887.1 meV per atom

a = 3.1937 Å, b = 3.1937 Å, c = 16.1905 Å
α = 90.00°, β = 90.00°, γ = 90.00°
Atoms (fractional coordinates):
1 Sc 0.0000 0.0000 0.0000
2 Sc 0.0000 0.0000 0.2025
3 Sc 0.0000 0.0000 0.4052
4 Sc 0.0000 0.0000 0.5948
5 Sc 0.0000 0.0000 0.7975
6 Co 0.5000 0.5000 0.5000
7 Rh 0.5000 0.5000 0.1010
8 Rh 0.5000 0.5000 0.3028
9 Rh 0.5000 0.5000 0.6972
10 Rh 0.5000 0.5000 0.8990


Record 4
Density functional theory data (GGA-PBE) for La4GaGeN after structural relaxation.

Values from the calculation:
Raw formation energy ... -76 kJ per mole of atoms

a = 8.8840 Å, b = 8.8840 Å, c = 6.9403 Å
α = 90.00°, β = 90.00°, γ = 134.13°
Atoms (fractional coordinates):
1 La 0.0000 0.5000 0.0000
2 La 0.0000 0.5000 0.5000
3 La 0.0708 0.9292 0.7500
4 La 0.4214 0.5786 0.7500
5 La 0.5000 0.0000 0.0000
6 La 0.5000 0.0000 0.5000
7 La 0.5786 0.4214 0.2500
8 La 0.9292 0.0708 0.2500
9 Ga 0.3846 0.6154 0.2500
10 Ga 0.6154 0.3846 0.7500
11 Ge 0.1132 0.8868 0.2500
12 Ge 0.8868 0.1132 0.7500
13 N 0.2713 0.7287 0.7500
14 N 0.7287 0.2713 0.2500